Record 1
Density functional theory data (PBE) for a geometry-optimized Cs6Rb8Se structure.

N(E_F): 40.834 states/eV per cell

abc: 13.7656 13.7656 25.4071
angles: 90.00 90.00 120.00
Last column: nearest neighbours and their distance in Å.
Space group R-3 (No. 148, hexagonal axes)
Inequivalent atoms, fractional coordinates:
Cs1 0.0524 0.2459 0.4173  7 Rb 5.06-5.46, 5 Cs 5.13-5.35
Rb1 0.0000 0.0000 0.2492  6 Cs 5.11-5.27, 6 Rb 5.13-5.40
Rb2 0.0517 0.2187 0.9220  1 Se 3.37
Se1 0.0000 0.0000 0.0000  6 Rb 3.37

=====

Record 2
Density functional theory data (PBE) for a geometry-optimized Cs6Rb3Se structure.

N(E_F): 34.138 states/eV per cell

abc: 22.5250 22.2012 7.3062
angles: 90.00 90.00 90.00
Last column: nearest neighbours and their distance in Å.
Space group Cmc2_1 (No. 36)
Inequivalent atoms, fractional coordinates:
Cs1 0.0000 0.0931 0.0000  1 Se 3.50
Cs2 0.0000 0.2455 0.5006  2 Se 3.65-3.66
Cs3 0.1542 0.2461 0.0009  1 Se 3.47
Cs4 0.1646 0.4182 0.5014  6 Rb 5.11-5.45, 6 Cs 5.15-5.47
Rb1 0.0000 0.4022 0.0008  1 Se 3.37
Rb2 0.1715 0.0771 0.5005  2 Rb 5.01, 10 Cs 5.11-5.55
Se1 0.0000 0.2505 0.9999  1 Rb 3.37, 5 Cs 3.47-3.66

=====

Record 3
Density functional theory data (PBE) for a geometry-optimized CsRbSe3 structure.

offset from the most stable computed form: 1.034 eV per atom
N(E_F): 8.042 states/eV per cell

abc: 6.2505 6.2505 6.2505
angles: 90.00 90.00 90.00
Last column: nearest neighbours and their distance in Å.
Space group Pm-3m (No. 221)
Inequivalent atoms, fractional coordinates:
Cs1 0.0000 0.0000 0.0000  6 Se 3.13
Rb1 0.5000 0.5000 0.5000  12 Se 4.42
Se1 0.0000 0.0000 0.5000  2 Cs 3.13

=====

Record 4
Density functional theory data (PBE) for a geometry-optimized CsRbSe structure.

N(E_F): 0.000 states/eV per cell

abc: 5.8653 5.8653 8.3026
angles: 90.00 90.00 90.00
Last column: nearest neighbours and their distance in Å.
Space group P4/nmm (No. 129, origin choice 2)
Inequivalent atoms, fractional coordinates:
Cs1 0.2500 0.7500 0.0000  4 Se 3.65
Rb1 0.2500 0.7500 0.5000  4 Se 3.53
Se1 0.2500 0.2500 0.2624  4 Rb 3.53, 4 Cs 3.65

=====

Record 5
Density functional theory data (PBE) for a geometry-optimized CsRb2Se2 structure.

offset from the most stable computed form: 0.130 eV per atom
N(E_F): 7.339 states/eV per cell

abc: 6.2959 6.2959 11.5720
angles: 90.00 90.00 90.00
Last column: nearest neighbours and their distance in Å.
Space group I4/mmm (No. 139)
Inequivalent atoms, fractional coordinates:
Cs1 0.0000 0.0000 0.0000  2 Rb 3.97, 8 Se 4.28
Rb1 0.0000 0.0000 0.3427  4 Se 3.33, 1 Rb 3.64
Se1 0.0000 0.5000 0.2500  4 Rb 3.33

=====

Record 6
Density functional theory data (PBE) for a geometry-optimized Cs4RbSe2 structure.

N(E_F): 5.175 states/eV per cell

abc: 6.1053 6.1053 36.5913
angles: 90.00 90.00 120.00
Last column: nearest neighbours and their distance in Å.
Space group R-3m (No. 166, hexagonal axes)
Inequivalent atoms, fractional coordinates:
Cs1 0.0000 0.0000 0.0929  3 Se 3.66
Cs2 0.0000 0.0000 0.2992  4 Se 3.67-3.71
Rb1 0.0000 0.0000 0.5000  2 Se 3.68
Se1 0.0000 0.0000 0.3994  7 Cs 3.66-3.71, 1 Rb 3.68

=====

Record 7
Density functional theory data (PBE) for a geometry-optimized CsRbSe3 structure.

offset from the most stable computed form: 0.913 eV per atom
N(E_F): 6.921 states/eV per cell

abc: 6.3291 6.3291 6.3291
angles: 90.00 90.00 90.00
Last column: nearest neighbours and their distance in Å.
Space group Pm-3m (No. 221)
Inequivalent atoms, fractional coordinates:
Cs1 0.0000 0.0000 0.0000  12 Se 4.48
Rb1 0.5000 0.5000 0.5000  6 Se 3.16
Se1 0.0000 0.5000 0.5000  2 Rb 3.16

=====

Record 8
Density functional theory data (PBE) for a geometry-optimized CsRb2Se2 structure.

offset from the most stable computed form: 0.000 eV per atom
N(E_F): 2.321 states/eV per cell

abc: 9.9142 9.9142 3.8019
angles: 90.00 90.00 90.00
Last column: nearest neighbours and their distance in Å.
Space group P4/mbm (No. 127)
Inequivalent atoms, fractional coordinates:
Cs1 0.0000 0.0000 0.0000  2 Cs 3.80, 4 Rb 3.93, 8 Se 4.12
Rb1 0.1229 0.3771 0.0000  6 Se 3.41-3.55, 3 Rb 3.45-3.80
Se1 0.1755 0.6755 0.5000  6 Rb 3.41-3.55, 2 Se 3.80

=====

Record 9
Density functional theory data (PBE) for a geometry-optimized CsRbSe5 structure.

abc: 9.2205 12.0238 11.6603
angles: 90.00 111.68 90.00
Last column: nearest neighbours and their distance in Å.
Space group C2/c (No. 15)
Inequivalent atoms, fractional coordinates:
Cs1 0.0000 0.0487 0.2500  3 Se 3.42-3.62
Rb1 0.0000 0.5000 0.0000  6 Se 3.54-3.64
Se1 0.0000 0.3332 0.2500  2 Se 2.66
Se2 0.0080 0.2354 0.6488  2 Se 2.42-2.58
Se3 0.2222 0.1779 0.5679  3 Se 2.52-2.66

=====

Record 10
Density functional theory data (PBE) for a geometry-optimized CsRb2SiSe4 structure.

N(E_F): 21.017 states/eV per cell

abc: 8.5459 8.5495 9.1146
angles: 90.00 90.00 90.00
Last column: nearest neighbours and their distance in Å.
Space group I222 (No. 23)
Inequivalent atoms, fractional coordinates:
Cs1 0.0000 0.0000 0.0000  4 Se 3.83
Rb1 0.0000 0.5000 0.2494  4 Se 3.38
Si1 0.0000 0.0000 0.5000  4 Se 2.29
Se1 0.1587 0.1590 0.3640  1 Si 2.29

=====

Record 11
Density functional theory data (PBE) for a geometry-optimized CsRbSiSe3 structure.

N(E_F): 0.000 states/eV per cell

abc: 9.6622 10.6755 10.2462
angles: 90.00 91.55 90.00
Last column: nearest neighbours and their distance in Å.
Space group C2/m (No. 12)
Inequivalent atoms, fractional coordinates:
Cs1 0.1936 0.0000 0.3807  7 Se 3.76-3.88, 1 Si 4.05
Rb1 0.0000 0.2607 0.0000  6 Se 3.55-3.65, 2 Si 3.93
Si1 0.1852 0.0000 0.7976  3 Se 2.19-2.20
Se1 0.1461 0.1767 0.6939  1 Si 2.19
Se2 0.2452 0.0000 0.0067  1 Si 2.20

=====

Record 12
Density functional theory data (PBE) for a geometry-optimized CsRb2SnSe4 structure.

N(E_F): 24.509 states/eV per cell

abc: 8.7790 8.7897 9.1718
angles: 90.00 90.00 90.00
Last column: nearest neighbours and their distance in Å.
Space group I222 (No. 23)
Inequivalent atoms, fractional coordinates:
Cs1 0.0000 0.0000 0.0000  8 Se 3.87-4.28
Rb1 0.0000 0.5000 0.2490  4 Se 3.38
Sn1 0.0000 0.0000 0.5000  4 Se 2.55
Se1 0.1733 0.1739 0.3508  1 Sn 2.55

=====

Number 1: calculated volume 92.7 A^3/atom, raw formation energy -0.18 eV/atom. Number 2: calculated volume 91.3 A^3/atom, raw formation energy -0.30 eV/atom. Number 3: calculated volume 48.8 A^3/atom, raw formation energy 0.23 eV/atom. Number 4: calculated volume 47.6 A^3/atom, raw formation energy -1.07 eV/atom. Number 5: calculated volume 45.9 A^3/atom, raw formation energy -0.75 eV/atom. Number 6: calculated volume 56.2 A^3/atom, raw formation energy -0.87 eV/atom. Number 7: calculated volume 50.7 A^3/atom, raw formation energy 0.11 eV/atom. Number 8: calculated volume 37.4 A^3/atom, raw formation energy -0.88 eV/atom. Number 9: calculated volume 42.9 A^3/atom, raw formation energy -0.50 eV/atom. Number 10: calculated volume 41.6 A^3/atom, raw formation energy -0.86 eV/atom. Number 11: calculated volume 44.0 A^3/atom, raw formation energy -0.93 eV/atom. Number 12: calculated volume 44.2 A^3/atom, raw formation energy -0.79 eV/atom.